This record from Alexandria via LeMat-Bulk describes a relaxed structure of TaIrPb2. The functional is PBE.

POSCAR file:
```
TaIrPb2
1.0
5.055 -1.574 0.000
5.055 1.574 0.000
-1.733 0.000 5.246
Ta Ir Pb
1 1 2
direct
0.000 0.000 0.000 Ta
0.500 0.500 0.500 Ir
0.236 0.236 0.744 Pb
0.764 0.764 0.256 Pb
```

DFT formation energy (meV per atom): 630
Space group: No. 12
Spin magnetization (μB/f.u.): 0.00
Volume (Å³ per atom): 20.88

This record from Alexandria via LeMat-Bulk describes a relaxed structure of TaIrPb2. The functional is PBE.

POSCAR file:
```
TaIrPb2
1.0
1.804 1.042 8.712
-1.804 1.042 8.712
0.000 -2.083 8.712
Ta Ir Pb
1 1 2
direct
0.000 0.000 0.000 Ta
0.281 0.281 0.281 Ir
0.529 0.529 0.529 Pb
0.761 0.761 0.761 Pb
```

DFT formation energy (meV per atom): 173
Space group: No. 160
Spin magnetization (μB/f.u.): 0.00
Volume (Å³ per atom): 24.55

This record from Alexandria via LeMat-Bulk describes a relaxed structure of TaIr2Pb. The functional is PBE.

POSCAR file:
```
TaIr2Pb
1.0
-2.084 2.084 3.986
2.084 -2.084 3.986
2.084 2.084 -3.986
Ta Ir Pb
1 2 1
direct
0.000 0.000 0.000 Ta
0.250 0.750 0.500 Ir
0.750 0.250 0.500 Ir
0.500 0.500 0.000 Pb
```

DFT formation energy (meV per atom): 76
Space group: No. 139
Spin magnetization (μB/f.u.): 0.00
Volume (Å³ per atom): 17.31

This record from Alexandria via LeMat-Bulk describes a relaxed structure of TaIr2Pb. The functional is PBE.

POSCAR file:
```
TaIr2Pb
1.0
3.058 0.000 0.000
0.000 4.584 0.000
-1.130 0.000 5.097
Ta Ir Pb
1 2 1
direct
0.000 0.000 0.000 Ta
0.324 0.000 0.529 Ir
0.479 0.500 0.861 Ir
0.776 0.500 0.385 Pb
```

DFT formation energy (meV per atom): 119
Space group: No. 6
Spin magnetization (μB/f.u.): 0.00
Volume (Å³ per atom): 17.86

This record from Alexandria via LeMat-Bulk describes a relaxed structure of TaIr3Pb. The functional is PBE.

POSCAR file:
```
TaIr3Pb
1.0
4.856 0.000 0.000
0.000 4.856 0.000
0.000 0.000 4.856
Ta Ir Pb
1 3 1
direct
0.000 0.000 0.000 Ta
0.000 0.000 0.500 Ir
0.000 0.500 0.000 Ir
0.500 0.000 0.000 Ir
0.500 0.500 0.500 Pb
```

DFT formation energy (meV per atom): 1151
Space group: No. 221
Spin magnetization (μB/f.u.): 0.00
Volume (Å³ per atom): 22.90

This record from Alexandria via LeMat-Bulk describes a relaxed structure of TaIr2Pb. The functional is PBE.

POSCAR file:
```
TaIr2Pb
1.0
4.773 -1.546 0.000
4.773 1.546 0.000
-0.875 0.000 4.868
Ta Ir Pb
1 2 1
direct
0.000 0.000 0.000 Ta
0.271 0.271 0.857 Ir
0.519 0.519 0.558 Ir
0.767 0.767 0.349 Pb
```

DFT formation energy (meV per atom): 136
Space group: No. 8
Spin magnetization (μB/f.u.): 0.00
Volume (Å³ per atom): 17.96

This record from Alexandria via LeMat-Bulk describes a relaxed structure of TaIrPb2. The functional is PBE.

POSCAR file:
```
TaIrPb2
1.0
5.207 -1.751 0.000
5.207 1.751 0.000
-3.627 0.000 5.134
Ta Ir Pb
1 1 2
direct
0.000 0.000 0.000 Ta
0.384 0.384 0.655 Ir
0.617 0.617 0.523 Pb
0.780 0.780 0.161 Pb
```

DFT formation energy (meV per atom): 314
Space group: No. 8
Spin magnetization (μB/f.u.): 0.00
Volume (Å³ per atom): 23.41

This record from Alexandria via LeMat-Bulk describes a relaxed structure of TaIrPb2. The functional is PBE.

POSCAR file:
```
TaIrPb2
1.0
-2.110 2.110 10.097
2.110 -2.110 10.097
2.110 2.110 -10.097
Ta Ir Pb
2 2 4
direct
0.000 0.000 0.000 Ta
0.750 0.250 0.500 Ta
0.250 0.750 0.500 Ir
0.500 0.500 0.000 Ir
0.129 0.625 0.004 Pb
0.375 0.379 0.504 Pb
0.621 0.125 0.996 Pb
0.875 0.871 0.496 Pb
```

DFT formation energy (meV per atom): 770
Space group: No. 122
Spin magnetization (μB/f.u.): 0.00
Volume (Å³ per atom): 22.48

This record from Alexandria via LeMat-Bulk describes a relaxed structure of TaIr2Pb2. The functional is PBE.

POSCAR file:
```
TaIr2Pb2
1.0
6.748 0.000 0.000
0.000 6.748 0.000
0.000 0.000 4.700
Ta Ir Pb
2 4 4
direct
0.000 0.000 0.000 Ta
0.500 0.500 0.000 Ta
0.137 0.363 0.000 Ir
0.363 0.863 0.000 Ir
0.637 0.137 0.000 Ir
0.863 0.637 0.000 Ir
0.177 0.677 0.500 Pb
0.323 0.177 0.500 Pb
0.677 0.823 0.500 Pb
0.823 0.323 0.500 Pb
```

DFT formation energy (meV per atom): 330
Space group: No. 127
Spin magnetization (μB/f.u.): 0.00
Volume (Å³ per atom): 21.40

This record from Alexandria via LeMat-Bulk describes a relaxed structure of TaIr2Pb. The functional is PBE.

POSCAR file:
```
TaIr2Pb
1.0
1.573 0.908 8.906
-1.573 0.908 8.906
0.000 -1.816 8.906
Ta Ir Pb
1 2 1
direct
0.000 0.000 0.000 Ta
0.262 0.262 0.262 Ir
0.738 0.738 0.738 Ir
0.500 0.500 0.500 Pb
```

DFT formation energy (meV per atom): 57
Space group: No. 166
Spin magnetization (μB/f.u.): 0.00
Volume (Å³ per atom): 19.09

This record from Alexandria via LeMat-Bulk describes a relaxed structure of TaIr2Pb. The functional is PBE.

POSCAR file:
```
TaIr2Pb
1.0
4.387 -1.698 0.000
4.387 1.698 0.000
-1.267 0.000 4.973
Ta Ir Pb
1 2 1
direct
0.000 0.000 0.000 Ta
0.267 0.267 0.793 Ir
0.733 0.733 0.207 Ir
0.500 0.500 0.500 Pb
```

DFT formation energy (meV per atom): 134
Space group: No. 12
Spin magnetization (μB/f.u.): 0.00
Volume (Å³ per atom): 18.52

This record from Alexandria via LeMat-Bulk describes a relaxed structure of TaIrPb. The functional is PBE.

POSCAR file:
```
TaIrPb
1.0
4.643 0.000 0.000
-2.322 4.021 0.000
0.000 0.000 2.984
Ta Ir Pb
1 1 1
direct
0.000 0.000 0.000 Ta
0.667 0.333 0.500 Ir
0.333 0.667 0.500 Pb
```

DFT formation energy (meV per atom): 299
Space group: No. 187
Spin magnetization (μB/f.u.): 0.00
Volume (Å³ per atom): 18.57

This record from Alexandria via LeMat-Bulk describes a relaxed structure of TaIrPb2. The functional is PBE.

POSCAR file:
```
TaIrPb2
1.0
3.188 0.000 0.000
0.000 3.736 0.000
0.000 0.000 6.832
Ta Ir Pb
1 1 2
direct
0.000 0.000 0.000 Ta
0.000 0.000 0.500 Ir
0.500 0.500 0.262 Pb
0.500 0.500 0.738 Pb
```

DFT formation energy (meV per atom): 669
Space group: No. 47
Spin magnetization (μB/f.u.): 0.00
Volume (Å³ per atom): 20.34

This record from Alexandria via LeMat-Bulk describes a relaxed structure of TaIrPb2. The functional is PBE.

POSCAR file:
```
TaIrPb2
1.0
-2.106 2.106 4.811
2.106 -2.106 4.811
2.106 2.106 -4.811
Ta Ir Pb
1 1 2
direct
0.000 0.000 0.000 Ta
0.500 0.500 0.000 Ir
0.250 0.750 0.500 Pb
0.750 0.250 0.500 Pb
```

DFT formation energy (meV per atom): 780
Space group: No. 139
Spin magnetization (μB/f.u.): 0.00
Volume (Å³ per atom): 21.34

This record from Alexandria via LeMat-Bulk describes a relaxed structure of Ta2IrPb2. The functional is PBE.

POSCAR file:
```
Ta2IrPb2
1.0
-1.832 1.832 8.403
1.832 -1.832 8.403
1.832 1.832 -8.403
Ta Ir Pb
2 1 2
direct
0.250 0.750 0.500 Ta
0.750 0.250 0.500 Ta
0.000 0.000 0.000 Ir
0.406 0.406 0.000 Pb
0.594 0.594 0.000 Pb
```

DFT formation energy (meV per atom): 1000
Space group: No. 139
Spin magnetization (μB/f.u.): 0.00
Volume (Å³ per atom): 22.56

This record from Alexandria via LeMat-Bulk describes a relaxed structure of TaIr2Pb. The functional is PBE.

POSCAR file:
```
TaIr2Pb
1.0
3.122 0.000 0.000
0.000 3.122 0.000
0.000 0.000 7.458
Ta Ir Pb
1 2 1
direct
0.000 0.000 0.000 Ta
0.000 0.000 0.444 Ir
0.500 0.500 0.197 Ir
0.500 0.500 0.690 Pb
```

DFT formation energy (meV per atom): 308
Space group: No. 99
Spin magnetization (μB/f.u.): 0.00
Volume (Å³ per atom): 18.17

This record from Alexandria via LeMat-Bulk describes a relaxed structure of TaIrPb3. The functional is PBE.

POSCAR file:
```
TaIrPb3
1.0
5.257 0.000 0.000
0.000 5.257 0.000
0.000 0.000 5.257
Ta Ir Pb
1 1 3
direct
0.000 0.000 0.000 Ta
0.500 0.500 0.500 Ir
0.000 0.500 0.500 Pb
0.500 0.000 0.500 Pb
0.500 0.500 0.000 Pb
```

DFT formation energy (meV per atom): 1225
Space group: No. 221
Spin magnetization (μB/f.u.): 2.62
Volume (Å³ per atom): 29.06

This record from Alexandria via LeMat-Bulk describes a relaxed structure of TaIr2Pb. The functional is PBE.

POSCAR file:
```
TaIr2Pb
1.0
2.978 -3.899 0.000
2.978 3.899 0.000
0.000 0.000 3.010
Ta Ir Pb
1 2 1
direct
0.000 0.000 0.000 Ta
0.000 0.500 0.500 Ir
0.500 0.000 0.500 Ir
0.500 0.500 0.000 Pb
```

DFT formation energy (meV per atom): 135
Space group: No. 65
Spin magnetization (μB/f.u.): 0.00
Volume (Å³ per atom): 17.48

This record from Alexandria via LeMat-Bulk describes a relaxed structure of TaIrPb2. The functional is PBE.

POSCAR file:
```
TaIrPb2
1.0
-1.599 2.674 4.937
1.599 -2.674 4.937
1.599 2.674 -4.937
Ta Ir Pb
1 1 2
direct
0.000 0.000 0.000 Ta
0.500 0.500 0.000 Ir
0.269 0.769 0.500 Pb
0.731 0.231 0.500 Pb
```

DFT formation energy (meV per atom): 643
Space group: No. 71
Spin magnetization (μB/f.u.): 0.00
Volume (Å³ per atom): 21.11

This record from Alexandria via LeMat-Bulk describes a relaxed structure of TaIr3Pb. The functional is PBE.

POSCAR file:
```
TaIr3Pb
1.0
4.855 0.000 0.000
0.000 4.855 0.000
0.000 0.000 4.855
Ta Ir Pb
1 3 1
direct
0.000 0.000 0.000 Ta
0.000 0.500 0.500 Ir
0.500 0.000 0.500 Ir
0.500 0.500 0.000 Ir
0.500 0.500 0.500 Pb
```

DFT formation energy (meV per atom): 2354
Space group: No. 221
Spin magnetization (μB/f.u.): 0.00
Volume (Å³ per atom): 22.88

This record from Alexandria via LeMat-Bulk describes a relaxed structure of TaIr2Pb. The functional is PBE.

POSCAR file:
```
TaIr2Pb
1.0
4.919 0.000 0.000
0.000 4.919 0.000
0.000 0.000 2.943
Ta Ir Pb
1 2 1
direct
0.000 0.000 0.000 Ta
0.000 0.500 0.500 Ir
0.500 0.000 0.500 Ir
0.500 0.500 0.000 Pb
```

DFT formation energy (meV per atom): 228
Space group: No. 123
Spin magnetization (μB/f.u.): 0.00
Volume (Å³ per atom): 17.80

This record from Alexandria via LeMat-Bulk describes a relaxed structure of Ta3IrPb. The functional is PBE.

POSCAR file:
```
Ta3IrPb
1.0
4.905 0.000 0.000
0.000 4.905 0.000
0.000 0.000 4.905
Ta Ir Pb
3 1 1
direct
0.000 0.000 0.500 Ta
0.000 0.500 0.000 Ta
0.500 0.000 0.000 Ta
0.000 0.000 0.000 Ir
0.500 0.500 0.500 Pb
```

DFT formation energy (meV per atom): 917
Space group: No. 221
Spin magnetization (μB/f.u.): 0.00
Volume (Å³ per atom): 23.60

This record from Alexandria via LeMat-Bulk describes a relaxed structure of TaIrPb2. The functional is PBE.

POSCAR file:
```
TaIrPb2
1.0
-2.163 2.163 4.437
2.163 -2.163 4.437
2.163 2.163 -4.437
Ta Ir Pb
1 1 2
direct
0.000 0.000 0.000 Ta
0.250 0.750 0.500 Ir
0.500 0.500 0.000 Pb
0.750 0.250 0.500 Pb
```

DFT formation energy (meV per atom): 618
Space group: No. 119
Spin magnetization (μB/f.u.): 0.00
Volume (Å³ per atom): 20.75

This record from Alexandria via LeMat-Bulk describes a relaxed structure of TaIrPb2. The functional is PBE.

POSCAR file:
```
TaIrPb2
1.0
3.256 0.000 0.000
0.000 3.263 0.000
-0.038 0.000 8.674
Ta Ir Pb
1 1 2
direct
0.000 0.000 0.000 Ta
0.498 0.500 0.847 Ir
0.502 0.500 0.258 Pb
0.993 0.000 0.601 Pb
```

DFT formation energy (meV per atom): 8
Space group: No. 6
Spin magnetization (μB/f.u.): 0.00
Volume (Å³ per atom): 23.04

This record from Alexandria via LeMat-Bulk describes a relaxed structure of TaIrPb2. The functional is PBE.

POSCAR file:
```
TaIrPb2
1.0
0.000 3.452 3.452
3.452 0.000 3.452
3.452 3.452 0.000
Ta Ir Pb
1 1 2
direct
0.000 0.000 0.000 Ta
0.500 0.500 0.500 Ir
0.250 0.250 0.250 Pb
0.750 0.750 0.750 Pb
```

DFT formation energy (meV per atom): 749
Space group: No. 225
Spin magnetization (μB/f.u.): 1.61
Volume (Å³ per atom): 20.57

This record from Alexandria via LeMat-Bulk describes a relaxed structure of TaIr2Pb. The functional is PBE.

POSCAR file:
```
TaIr2Pb
1.0
3.584 0.000 0.000
0.000 3.584 0.000
0.000 0.000 5.722
Ta Ir Pb
1 2 1
direct
0.000 0.000 0.000 Ta
0.000 0.000 0.453 Ir
0.500 0.500 0.160 Ir
0.500 0.500 0.662 Pb
```

DFT formation energy (meV per atom): 217
Space group: No. 99
Spin magnetization (μB/f.u.): 0.00
Volume (Å³ per atom): 18.38

This record from Alexandria via LeMat-Bulk describes a relaxed structure of TaIrPb2. The functional is PBE.

POSCAR file:
```
TaIrPb2
1.0
1.598 0.923 9.382
-1.598 0.923 9.382
0.000 -1.845 9.382
Ta Ir Pb
1 1 2
direct
0.000 0.000 0.000 Ta
0.500 0.500 0.500 Ir
0.245 0.245 0.245 Pb
0.755 0.755 0.755 Pb
```

DFT formation energy (meV per atom): 663
Space group: No. 166
Spin magnetization (μB/f.u.): 0.00
Volume (Å³ per atom): 20.75

This record from Alexandria via LeMat-Bulk describes a relaxed structure of TaIr2Pb. The functional is PBE.

POSCAR file:
```
TaIr2Pb
1.0
4.206 0.000 0.000
0.000 4.206 0.000
0.000 0.000 3.961
Ta Ir Pb
1 2 1
direct
0.000 0.000 0.000 Ta
0.000 0.500 0.500 Ir
0.500 0.000 0.500 Ir
0.500 0.500 0.000 Pb
```

DFT formation energy (meV per atom): 209
Space group: No. 123
Spin magnetization (μB/f.u.): 0.00
Volume (Å³ per atom): 17.52

This record from Alexandria via LeMat-Bulk describes a relaxed structure of TaIrPb4. The functional is PBE.

POSCAR file:
```
TaIrPb4
1.0
0.000 4.319 4.319
4.319 0.000 4.319
4.319 4.319 0.000
Ta Ir Pb
1 1 4
direct
0.000 0.000 0.000 Ta
0.750 0.750 0.750 Ir
0.375 0.375 0.375 Pb
0.375 0.375 0.875 Pb
0.375 0.875 0.375 Pb
0.875 0.375 0.375 Pb
```

DFT formation energy (meV per atom): 1372
Space group: No. 216
Spin magnetization (μB/f.u.): 2.27
Volume (Å³ per atom): 26.85

This record from Alexandria via LeMat-Bulk describes a relaxed structure of TaIrPb2. The functional is PBE.

POSCAR file:
```
TaIrPb2
1.0
4.921 0.000 0.000
0.000 4.921 0.000
0.000 0.000 3.352
Ta Ir Pb
1 1 2
direct
0.000 0.000 0.000 Ta
0.500 0.500 0.000 Ir
0.000 0.500 0.500 Pb
0.500 0.000 0.500 Pb
```

DFT formation energy (meV per atom): 596
Space group: No. 123
Spin magnetization (μB/f.u.): 0.00
Volume (Å³ per atom): 20.29